Here is a geometry-optimized TaTiW3 structure from Alexandria. Energies are from PBE.

Cell lengths 4.7685, 4.7685, 4.7685 Å; angles 90.00, 90.00, 90.00 degrees
Last column: nearest neighbours and their distance in Å.
Positions (direct):
Ta  0.0000  0.0000  0.0000  6 W 2.38
Ti  0.5000  0.5000  0.5000  12 W 3.37
W  0.0000  0.0000  0.5000  2 Ta 2.38
W  0.0000  0.5000  0.0000  2 Ta 2.38
W  0.5000  0.0000  0.0000  2 Ta 2.38

* E_form: 2.113 eV/atom
* relative energy among the computed polymorphs: 2.188 eV/atom

---

Here is a geometry-optimized Ta2TiW8 structure from Alexandria. Energies are from PBE.

Cell lengths 3.1975, 7.1749, 8.3237 Å; angles 105.18, 101.06, 90.06 degrees
Last column: nearest neighbours and their distance in Å.
Positions (direct):
Ta  0.2275  0.1414  0.4545  6 W 2.78-2.81, 2 Ta 2.83
Ta  0.7725  0.8586  0.5455  6 W 2.78-2.81, 2 Ta 2.83
Ti  0.5000  0.5000  0.0000  8 W 2.75-2.80
W  0.0458  0.2245  0.0915  6 W 2.74-2.77, 2 Ti 2.79-2.80
W  0.1349  0.6802  0.2706  4 W 2.74-2.77, 2 Ti 2.75-2.76, 2 Ta 2.78
W  0.3203  0.5876  0.6408  6 W 2.74-2.81, 2 Ta 2.78-2.79
W  0.4110  0.0492  0.8220  6 W 2.74-2.77, 2 Ta 2.81
W  0.5890  0.9508  0.1780  6 W 2.74-2.77, 2 Ta 2.81
W  0.6797  0.4124  0.3592  6 W 2.74-2.81, 2 Ta 2.78-2.79
W  0.8651  0.3198  0.7294  4 W 2.74-2.77, 2 Ti 2.75-2.76, 2 Ta 2.78
W  0.9542  0.7755  0.9085  6 W 2.74-2.77, 2 Ti 2.79-2.80

* E_form: -0.082 eV/atom

---

Here is a geometry-optimized TaTi2W structure from Alexandria. Energies are from PBE.

Cell lengths 6.4416, 6.4416, 6.4416 Å; angles 90.00, 90.00, 90.00 degrees
Last column: nearest neighbours and their distance in Å.
Positions (direct):
Ta  0.0000  0.0000  0.0000  8 Ti 2.79
Ta  0.0000  0.5000  0.5000  8 Ti 2.79
Ta  0.5000  0.0000  0.5000  8 Ti 2.79
Ta  0.5000  0.5000  0.0000  8 Ti 2.79
Ti  0.2500  0.2500  0.2500  4 Ta 2.79, 4 W 2.79
Ti  0.2500  0.2500  0.7500  4 Ta 2.79, 4 W 2.79
Ti  0.2500  0.7500  0.2500  4 Ta 2.79, 4 W 2.79
Ti  0.2500  0.7500  0.7500  4 Ta 2.79, 4 W 2.79
Ti  0.7500  0.2500  0.2500  4 Ta 2.79, 4 W 2.79
Ti  0.7500  0.2500  0.7500  4 Ta 2.79, 4 W 2.79
Ti  0.7500  0.7500  0.2500  4 Ta 2.79, 4 W 2.79
Ti  0.7500  0.7500  0.7500  4 Ta 2.79, 4 W 2.79
W  0.0000  0.0000  0.5000  8 Ti 2.79
W  0.0000  0.5000  0.0000  8 Ti 2.79
W  0.5000  0.0000  0.0000  8 Ti 2.79
W  0.5000  0.5000  0.5000  8 Ti 2.79

* E_form: 0.100 eV/atom
* relative energy among the computed polymorphs: 0.063 eV/atom

---

Here is a geometry-optimized TaTi3W2 structure from Alexandria. Energies are from PBE.

Cell lengths 7.2893, 7.2893, 6.7901 Å; angles 96.79, 96.79, 36.10 degrees
Last column: nearest neighbours and their distance in Å.
Positions (direct):
Ta  0.1517  0.1517  0.2803  5 W 2.70-2.79, 1 Ti 2.91
Ta  0.8483  0.8483  0.7197  5 W 2.70-2.79, 1 Ti 2.91
Ti  0.0677  0.0677  0.8358  3 W 2.69-2.71, 2 Ti 2.87
Ti  0.3123  0.3123  0.0417  2 W 2.66-2.70, 5 Ti 2.74-2.87, 1 Ta 2.91
Ti  0.3886  0.3886  0.4336  5 W 2.70-2.86, 3 Ti 2.74-3.02
Ti  0.6114  0.6114  0.5664  5 W 2.70-2.86, 3 Ti 2.74-3.02
Ti  0.6877  0.6877  0.9583  2 W 2.66-2.70, 5 Ti 2.74-2.87, 1 Ta 2.91
Ti  0.9323  0.9323  0.1642  3 W 2.69-2.71, 2 Ti 2.87
W  0.2338  0.2338  0.6630  5 Ti 2.66-2.85, 3 Ta 2.70-2.76
W  0.4617  0.4617  0.8211  1 W 2.53, 4 Ti 2.69-2.70, 2 Ta 2.79
W  0.5383  0.5383  0.1789  1 W 2.53, 4 Ti 2.69-2.70, 2 Ta 2.79
W  0.7662  0.7662  0.3370  5 Ti 2.66-2.85, 3 Ta 2.70-2.76

* E_form: 0.152 eV/atom

---

Here is a geometry-optimized TaTiW2 structure from Alexandria. Energies are from PBE.

Cell lengths 4.5345, 4.5345, 3.2240 Å; angles 90.00, 90.00, 90.00 degrees
Last column: nearest neighbours and their distance in Å.
Positions (direct):
Ta  0.0000  0.0000  0.0000  8 W 2.78
Ti  0.5000  0.5000  0.0000  8 W 2.78
W  0.0000  0.5000  0.5000  4 Ta 2.78, 4 Ti 2.78
W  0.5000  0.0000  0.5000  4 Ta 2.78, 4 Ti 2.78

* E_form: -0.013 eV/atom

---

Here is a geometry-optimized Ta2TiW3 structure from Alexandria. Energies are from PBE.

Cell lengths 7.0862, 7.0862, 6.9823 Å; angles 93.87, 93.87, 37.41 degrees
Last column: nearest neighbours and their distance in Å.
Positions (direct):
Ta  0.0379  0.0379  0.1924  5 W 2.68-2.83, 2 Ti 2.75, 1 Ta 2.80
Ta  0.2656  0.2656  0.3452  5 W 2.70-2.81, 3 Ti 2.80
Ta  0.7344  0.7344  0.6548  5 W 2.70-2.81, 3 Ti 2.80
Ta  0.9621  0.9621  0.8076  5 W 2.68-2.83, 2 Ti 2.75, 1 Ta 2.80
Ti  0.3532  0.3532  0.7212  5 Ta 2.75-2.80, 2 W 2.80-2.85
Ti  0.6468  0.6468  0.2788  5 Ta 2.75-2.80, 2 W 2.80-2.85
W  0.1151  0.1151  0.5809  5 Ta 2.68-2.83, 1 W 2.77
W  0.1937  0.1937  0.9592  2 Ta 2.74-2.80, 5 W 2.77-2.80, 1 Ti 2.80
W  0.4242  0.4242  0.1159  3 W 2.69-2.80, 3 Ta 2.75-2.77, 1 Ti 2.85
W  0.5758  0.5758  0.8841  3 W 2.69-2.80, 3 Ta 2.75-2.77, 1 Ti 2.85
W  0.8063  0.8063  0.0408  2 Ta 2.74-2.80, 5 W 2.77-2.80, 1 Ti 2.80
W  0.8849  0.8849  0.4191  5 Ta 2.68-2.83, 1 W 2.77

* E_form: 0.261 eV/atom
* relative energy among the computed polymorphs: 0.298 eV/atom

---

Here is a geometry-optimized TaTi2W structure from Alexandria. Energies are from PBE.

Cell lengths 7.2053, 7.2053, 5.4726 Å; angles 90.00, 90.00, 90.00 degrees
Last column: nearest neighbours and their distance in Å.
Positions (direct):
Ta  0.0000  0.0000  0.0000  4 Ti 2.70, 2 W 2.74
Ta  0.0000  0.5000  0.2500  4 Ti 2.70, 2 W 2.74
Ta  0.5000  0.0000  0.7500  4 Ti 2.70, 2 W 2.74
Ta  0.5000  0.5000  0.5000  4 Ti 2.70, 2 W 2.74
Ti  0.2374  0.7500  0.6250  2 W 2.58, 2 Ta 2.70, 2 Ti 2.74
Ti  0.2500  0.2374  0.3750  2 W 2.58, 2 Ta 2.70, 2 Ti 2.74
Ti  0.2500  0.2626  0.8750  2 W 2.58, 2 Ta 2.70, 2 Ti 2.74
Ti  0.2626  0.7500  0.1250  2 W 2.58, 2 Ta 2.70, 2 Ti 2.74
Ti  0.7374  0.2500  0.1250  2 W 2.58, 2 Ta 2.70, 2 Ti 2.74
Ti  0.7500  0.7374  0.8750  2 W 2.58, 2 Ta 2.70, 2 Ti 2.74
Ti  0.7500  0.7626  0.3750  2 W 2.58, 2 Ta 2.70, 2 Ti 2.74
Ti  0.7626  0.2500  0.6250  2 W 2.58, 2 Ta 2.70, 2 Ti 2.74
W  0.0000  0.0000  0.5000  4 Ti 2.58, 2 Ta 2.74
W  0.0000  0.5000  0.7500  4 Ti 2.58, 2 Ta 2.74
W  0.5000  0.0000  0.2500  4 Ti 2.58, 2 Ta 2.74
W  0.5000  0.5000  0.0000  4 Ti 2.58, 2 Ta 2.74

* E_form: 0.624 eV/atom
* relative energy among the computed polymorphs: 0.586 eV/atom

---

Here is a geometry-optimized TaTi2W structure from Alexandria. Energies are from PBE.

Cell lengths 13.8385, 4.5797, 4.5613 Å; angles 90.00, 109.03, 90.00 degrees
Last column: nearest neighbours and their distance in Å.
Positions (direct):
Ta  0.1891  0.0000  0.4409  4 Ti 2.75-2.81, 2 W 2.77, 2 Ta 2.79
Ta  0.3109  0.5000  0.5591  4 Ti 2.75-2.81, 2 W 2.77, 2 Ta 2.79
Ta  0.6891  0.5000  0.4409  4 Ti 2.75-2.81, 2 W 2.77, 2 Ta 2.79
Ta  0.8109  0.0000  0.5591  4 Ti 2.75-2.81, 2 W 2.77, 2 Ta 2.79
Ti  0.0675  0.0000  0.8290  2 Ta 2.75-2.81, 4 Ti 2.80-2.97, 2 W 2.80
Ti  0.0689  0.5000  0.3064  2 W 2.74-2.83, 2 Ta 2.78, 4 Ti 2.82-2.99
Ti  0.4311  0.0000  0.6936  2 W 2.74-2.83, 2 Ta 2.78, 4 Ti 2.82-2.99
Ti  0.4325  0.5000  0.1710  2 Ta 2.75-2.81, 4 Ti 2.80-2.97, 2 W 2.80
Ti  0.5675  0.5000  0.8290  2 Ta 2.75-2.81, 4 Ti 2.80-2.97, 2 W 2.80
Ti  0.5689  0.0000  0.3064  2 W 2.74-2.83, 2 Ta 2.78, 4 Ti 2.82-2.99
Ti  0.9311  0.5000  0.6936  2 W 2.74-2.83, 2 Ta 2.78, 4 Ti 2.82-2.99
Ti  0.9325  0.0000  0.1710  2 Ta 2.75-2.81, 4 Ti 2.80-2.97, 2 W 2.80
W  0.1907  0.5000  0.9395  4 Ti 2.74-2.83, 2 W 2.77, 2 Ta 2.77
W  0.3093  0.0000  0.0605  4 Ti 2.74-2.83, 2 W 2.77, 2 Ta 2.77
W  0.6907  0.0000  0.9395  4 Ti 2.74-2.83, 2 W 2.77, 2 Ta 2.77
W  0.8093  0.5000  0.0605  4 Ti 2.74-2.83, 2 W 2.77, 2 Ta 2.77

* E_form: 0.037 eV/atom
* relative energy among the computed polymorphs: 0.000 eV/atom

---

Here is a geometry-optimized Ta4Ti5W2 structure from Alexandria. Energies are from PBE.

Cell lengths 2.8257, 7.1138, 9.6111 Å; angles 92.30, 95.22, 98.33 degrees
Last column: nearest neighbours and their distance in Å.
Positions (direct):
Ta  0.2105  0.1384  0.4121  2 W 2.74-2.83, 2 Ti 2.82-2.84, 4 Ta 2.83-2.87
Ta  0.2816  0.9573  0.8618  1 W 2.78, 4 Ta 2.83-2.87, 4 Ti 2.85-3.07
Ta  0.7184  0.0427  0.1382  1 W 2.78, 4 Ta 2.83-2.87, 4 Ti 2.85-3.07
Ta  0.7895  0.8616  0.5879  2 W 2.74-2.83, 2 Ti 2.82-2.84, 4 Ta 2.83-2.87
Ti  0.0000  0.5000  0.5000  2 W 2.80, 4 Ti 2.83-2.86, 2 Ta 2.84
Ti  0.0214  0.3148  0.9425  1 W 2.68, 5 Ti 2.81-2.95, 2 Ta 2.85
Ti  0.4914  0.5817  0.7739  1 W 2.73, 6 Ti 2.81-3.02, 2 Ta 2.82-2.93
Ti  0.5086  0.4183  0.2261  1 W 2.73, 6 Ti 2.81-3.02, 2 Ta 2.82-2.93
Ti  0.9786  0.6852  0.0575  1 W 2.68, 5 Ti 2.81-2.95, 2 Ta 2.85
W  0.3739  0.7726  0.3205  3 Ti 2.68-2.80, 3 Ta 2.74-2.83, 2 W 2.83
W  0.6261  0.2274  0.6795  3 Ti 2.68-2.80, 3 Ta 2.74-2.83, 2 W 2.83

* E_form: 0.020 eV/atom

---

Here is a geometry-optimized Ta4Ti3W2 structure from Alexandria. Energies are from PBE.

Cell lengths 5.6301, 7.1226, 8.4508 Å; angles 98.24, 109.40, 97.43 degrees
Last column: nearest neighbours and their distance in Å.
Positions (direct):
Ta  0.0784  0.3275  0.0556  3 W 2.79-2.80, 3 Ti 2.80-2.87, 2 Ta 2.89-2.90
Ta  0.0857  0.3379  0.7156  2 W 2.77-2.78, 4 Ti 2.81-2.83, 2 Ta 2.88-2.90
Ta  0.2445  0.9968  0.8305  4 W 2.78-2.84, 3 Ti 2.84-2.93, 1 Ta 2.88
Ta  0.4176  0.6669  0.6086  4 W 2.80-2.83, 4 Ti 2.84-2.94
Ta  0.5824  0.3331  0.3914  4 W 2.80-2.83, 4 Ti 2.84-2.94
Ta  0.7555  0.0032  0.1695  4 W 2.78-2.84, 3 Ti 2.84-2.93, 1 Ta 2.88
Ta  0.9143  0.6621  0.2844  2 W 2.77-2.78, 4 Ti 2.81-2.83, 2 Ta 2.88-2.90
Ta  0.9216  0.6725  0.9444  3 W 2.79-2.80, 3 Ti 2.80-2.87, 2 Ta 2.89-2.90
Ti  0.2463  0.0082  0.4858  2 W 2.73-2.75, 3 Ti 2.81-2.85, 3 Ta 2.82-2.93
Ti  0.4094  0.6767  0.2725  1 W 2.74, 2 Ti 2.78-2.81, 5 Ta 2.81-2.94
Ti  0.4241  0.6643  0.9459  2 Ti 2.77-2.78, 6 Ta 2.80-2.87
Ti  0.5759  0.3357  0.0541  2 Ti 2.77-2.78, 6 Ta 2.80-2.87
Ti  0.5906  0.3233  0.7275  1 W 2.74, 2 Ti 2.78-2.81, 5 Ta 2.81-2.94
Ti  0.7537  0.9918  0.5142  2 W 2.73-2.75, 3 Ti 2.81-2.85, 3 Ta 2.82-2.93
W  0.0828  0.3346  0.3871  1 Ti 2.75, 7 Ta 2.77-2.83
W  0.2575  0.0014  0.1647  2 Ti 2.73-2.74, 6 Ta 2.79-2.84
W  0.7425  0.9986  0.8353  2 Ti 2.73-2.74, 6 Ta 2.79-2.84
W  0.9172  0.6654  0.6129  1 Ti 2.75, 7 Ta 2.77-2.83

* E_form: -0.015 eV/atom

---

Here is a geometry-optimized Ta14TiW structure from Alexandria. Energies are from PBE.

Cell lengths 5.7238, 5.7238, 9.3410 Å; angles 90.00, 90.00, 109.12 degrees
Last column: nearest neighbours and their distance in Å.
Positions (direct):
Ta  0.0000  0.0000  0.0000  8 Ta 2.86-2.93
Ta  0.0000  0.5000  0.0000  8 Ta 2.86-2.87
Ta  0.0000  0.5000  0.5000  2 W 2.86, 2 Ti 2.86, 4 Ta 2.86
Ta  0.2461  0.7539  0.2504  8 Ta 2.85-2.87
Ta  0.2461  0.7539  0.7496  8 Ta 2.85-2.87
Ta  0.2557  0.2557  0.2553  1 W 2.80, 1 Ti 2.85, 6 Ta 2.85-2.93
Ta  0.2557  0.2557  0.7447  1 W 2.80, 1 Ti 2.85, 6 Ta 2.85-2.93
Ta  0.5000  0.0000  0.0000  8 Ta 2.86-2.87
Ta  0.5000  0.0000  0.5000  2 W 2.86, 2 Ti 2.86, 4 Ta 2.86
Ta  0.5000  0.5000  0.0000  8 Ta 2.86-2.88
Ta  0.7443  0.7443  0.2553  1 W 2.80, 1 Ti 2.85, 6 Ta 2.85-2.93
Ta  0.7443  0.7443  0.7447  1 W 2.80, 1 Ti 2.85, 6 Ta 2.85-2.93
Ta  0.7539  0.2461  0.2504  8 Ta 2.85-2.87
Ta  0.7539  0.2461  0.7496  8 Ta 2.85-2.87
Ti  0.0000  0.0000  0.5000  8 Ta 2.85-2.86
W  0.5000  0.5000  0.5000  8 Ta 2.80-2.86

* E_form: -0.003 eV/atom

---

The DOS at the Fermi energy results, record by record, are as follows: 7.8 6.6 32.6 17.5 5.7 13.0 18.7 27.3 15.7 25.6 21.6 states/eV per cell.
The size of the total moment results, record by record, are as follows: 1.7 0.0 0.0 0.0 0.0 0.0 0.0 0.0 0.0 0.0 0.0 μB/f.u..